(1)
Ac2CeNb: optimized geometry, PBE.

```
Ac2CeNb
1.0
1.750 1.010 12.251
-1.750 1.010 12.251
0.000 -2.021 12.251
Ac Ce Nb
2 1 1
direct
0.082 0.082 0.082
0.918 0.918 0.918
0.500 0.500 0.500
0.000 0.000 0.000
```

Summary:
The calculated formation energy is 0.827 eV per atom.

***

(2)
AcCe2NbO8: optimized geometry, PBE.

```
AcCe2NbO8
1.0
5.149 0.000 0.000
0.000 7.177 0.000
-0.065 0.000 5.155
Ac Ce Nb O
1 2 1 8
direct
0.000 0.000 0.000
0.500 0.258 0.500
0.500 0.742 0.500
0.000 0.500 0.000
0.188 0.293 0.190
0.188 0.707 0.190
0.286 0.500 0.716
0.330 0.000 0.673
0.670 0.000 0.327
0.714 0.500 0.284
0.812 0.293 0.810
0.812 0.707 0.810
```

***

(3)
AcCeNb2O8: optimized geometry, PBE.

```
AcCeNb2O8
1.0
-2.742 2.742 5.934
2.742 -2.742 5.934
2.742 2.742 -5.934
Ac Ce Nb O
1 1 2 8
direct
0.000 0.000 0.000
0.250 0.750 0.500
0.500 0.500 0.000
0.750 0.250 0.500
0.262 0.660 0.096
0.340 0.436 0.602
0.422 0.002 0.090
0.564 0.166 0.904
0.667 0.578 0.579
0.834 0.738 0.398
0.912 0.333 0.910
0.998 0.088 0.421
```

***

(4)
Ac2CeNbO8: optimized geometry, PBE.

```
Ac2CeNbO8
1.0
5.346 0.000 0.000
0.000 7.202 0.000
-0.143 0.000 5.361
Ac Ce Nb O
2 1 1 8
direct
0.000 0.242 0.000
0.000 0.758 0.000
0.500 0.500 0.500
0.500 0.000 0.500
0.212 0.500 0.214
0.232 0.000 0.235
0.329 0.221 0.673
0.329 0.779 0.673
0.671 0.221 0.327
0.671 0.779 0.327
0.768 0.000 0.765
0.788 0.500 0.786
```

***

The theoretical density results, record by record, are as follows: 8.78; 6.35; 6.34; 6.56 Mg/m³.
The N(E_F) results, record by record, are as follows: 9.6; 0.0; 7.8; 9.3 states/eV/cell.
The raw total energy results, record by record, are as follows: -5.228; -8.582; -8.857; -8.208 eV/atom.